A relaxed GdCuRhAu crystal, computed with PBE.

## Properties
Uncorrected energy: -7.56 eV per atom
Energy of formation: -0.354 eV per atom
Spin magnetization: 28.38 μB per cell

a = 6.615 Å, b = 6.615 Å, c = 6.615 Å
α = 90.00°, β = 90.00°, γ = 90.00°
Fractional positions:
Gd 0.000 0.000 0.000
Gd 0.000 0.500 0.500
Gd 0.500 0.000 0.500
Gd 0.500 0.500 0.000
Cu 0.250 0.250 0.250
Cu 0.250 0.750 0.750
Cu 0.750 0.250 0.750
Cu 0.750 0.750 0.250
Rh 0.250 0.250 0.750
Rh 0.250 0.750 0.250
Rh 0.750 0.250 0.250
Rh 0.750 0.750 0.750
Au 0.000 0.000 0.500
Au 0.000 0.500 0.000
Au 0.500 0.000 0.000
Au 0.500 0.500 0.500